Here is ScInCoMo after structural relaxation from OQMD via LeMat-Bulk. Energies are from PBE.

Summary:
* E above lowest polymorph: 0 meV per atom
* space group: F-43m
* theoretical density: 7.763 g/cm3

Cell lengths 4.566, 4.566, 4.566 Å; angles 60.00, 60.00, 60.00 degrees
Element x y z (fractional)
Sc 0.000 0.000 0.000
In 0.500 0.500 0.500
Co 0.750 0.750 0.750
Mo 0.250 0.250 0.250